1.
First-principles (PBE) data for Ca2MgZn2Pt5 after structural relaxation, as listed in the Alexandria database.

a = 3.8057 Å, b = 9.6822 Å, c = 9.6822 Å
α = 90.00°, β = 90.00°, γ = 90.00°
Sites, in units of the cell vectors:
Ca  0.0000  0.6750  0.1750
Zn  0.0000  0.8759  0.3759
Zn  0.0000  0.6241  0.8759
Pt  0.5000  0.9351  0.2038
Zn  0.0000  0.3759  0.1241
Pt  0.5000  0.5000  0.0000
Ca  0.0000  0.3250  0.8250
Pt  0.5000  0.5649  0.7038
Pt  0.5000  0.4351  0.2962
Pt  0.5000  0.0649  0.7962
Ca  0.0000  0.8250  0.6750
Pt  0.5000  0.7038  0.4351
Mg  0.0000  0.0000  0.0000
Pt  0.5000  0.0000  0.5000
Ca  0.0000  0.1750  0.3250
Pt  0.5000  0.2962  0.5649
Pt  0.5000  0.2038  0.0649
Pt  0.5000  0.7962  0.9351
Mg  0.0000  0.5000  0.5000
Zn  0.0000  0.1241  0.6241

Output
The calculated total energy comes out at -4.587 eV/atom. Its space group is No. 127. As for the magnetization: 0.00 μB/cell. As for the formation energy from the elements: -0.75 eV/atom.

2.
First-principles (PBE) data for SrReAs2 after structural relaxation, as listed in the Alexandria database.

a = 4.8450 Å, b = 4.8450 Å, c = 4.8450 Å
α = 60.00°, β = 60.00°, γ = 60.00°
Last column: magnetic moment on the atom in μB.
Sites, in units of the cell vectors:
Sr  0.7500  0.7500  0.7500  0.02
As  0.2500  0.2500  0.2500  -0.01
As  0.0000  0.0000  0.0000  -0.01
Re  0.5000  0.5000  0.5000  0.29

Output
The calculated total energy comes out at -5.085 eV/atom. Its space group is No. 216. As for the magnetization: 0.36 μB/cell. As for the formation energy from the elements: 0.77 eV/atom.

3.
First-principles (PBE) data for UFeCoGe3 after structural relaxation, as listed in the Alexandria database.

a = 5.6799 Å, b = 7.6595 Å, c = 6.1910 Å
α = 128.21°, β = 90.00°, γ = 90.00°
Last column: magnetic moment on the atom in μB.
Sites, in units of the cell vectors:
Co  0.7500  0.0157  0.0314  -0.06
Fe  0.7500  0.4828  0.9657  -0.17
Ge  0.5000  0.7525  0.0000  0.01
Co  0.2500  0.9843  0.9686  -0.06
U  0.2500  0.7428  0.4855  0.94
Ge  0.2500  0.2484  0.4968  0.01
Ge  0.0000  0.2475  0.0000  0.01
Ge  0.0000  0.7525  0.0000  0.01
U  0.7500  0.2572  0.5145  0.94
Ge  0.5000  0.2475  0.0000  0.01
Ge  0.7500  0.7516  0.5032  0.01
Fe  0.2500  0.5172  0.0343  -0.17

Output
The calculated total energy comes out at -6.800 eV/atom. Its space group is No. 63. As for the magnetization: 1.69 μB/cell. As for the formation energy from the elements: -0.02 eV/atom.

4.
First-principles (PBE) data for Li2LaMoW after structural relaxation, as listed in the Alexandria database.

a = 5.0150 Å, b = 5.1676 Å, c = 5.0150 Å
α = 90.00°, β = 90.00°, γ = 90.00°
Last column: magnetic moment on the atom in μB.
Sites, in units of the cell vectors:
Li  0.5000  0.0000  0.0000  0.01
W  0.0000  0.0000  0.0000  0.38
Mo  0.5000  0.5000  0.5000  3.44
Li  0.0000  0.0000  0.5000  0.01
La  0.0000  0.5000  0.0000  0.01

Output
The calculated total energy comes out at -4.758 eV/atom. Its space group is No. 123. As for the magnetization: 4.51 μB/cell. As for the formation energy from the elements: 1.75 eV/atom.

5.
First-principles (PBE) data for KPRh2 after structural relaxation, as listed in the Alexandria database.

a = 3.0192 Å, b = 5.0583 Å, c = 4.4172 Å
α = 90.00°, β = 90.00°, γ = 90.00°
Sites, in units of the cell vectors:
Rh  0.0000  0.0000  0.0000
K  0.5000  0.0000  0.5000
P  0.0000  0.5000  0.5000
Rh  0.5000  0.5000  0.0000

Output
The calculated total energy comes out at -4.594 eV/atom. Its space group is No. 47. As for the magnetization: 0.00 μB/cell. As for the formation energy from the elements: 0.71 eV/atom.

6.
First-principles (PBE) data for CaSbMoRu2 after structural relaxation, as listed in the Alexandria database.

a = 4.5190 Å, b = 4.5190 Å, c = 5.2759 Å
α = 90.00°, β = 90.00°, γ = 90.00°
Last column: magnetic moment on the atom in μB.
Sites, in units of the cell vectors:
Ca  0.0000  0.0000  0.0000  -0.02
Mo  0.5000  0.5000  0.5000  -0.15
Ru  0.0000  0.5000  0.0000  0.22
Sb  0.0000  0.0000  0.5000  -0.01
Ru  0.5000  0.0000  0.0000  0.22

Output
The calculated total energy comes out at -4.824 eV/atom. Its space group is No. 123. As for the magnetization: 0.25 μB/cell.

7.
First-principles (PBE) data for VSbIr2 after structural relaxation, as listed in the Alexandria database.

a = 5.5395 Å, b = 5.5395 Å, c = 7.1228 Å
α = 67.12°, β = 67.12°, γ = 90.00°
Last column: magnetic moment on the atom in μB.
Sites, in units of the cell vectors:
Ir  0.1608  0.6250  0.2500  -0.03
Sb  0.0000  0.0000  0.0000  0.00
V  0.5000  0.5000  0.0000  0.36
Ir  0.5892  0.1250  0.2500  -0.03
Ir  0.3750  0.4108  0.7500  -0.03
Sb  0.7500  0.2500  0.5000  0.00
Ir  0.8750  0.8392  0.7500  -0.03
V  0.2500  0.7500  0.5000  0.36

Output
The calculated total energy comes out at -7.367 eV/atom. Its space group is No. 122. As for the magnetization: 0.67 μB/cell.

8.
First-principles (PBE) data for Pr2Zn4Si3Ag after structural relaxation, as listed in the Alexandria database.

a = 4.1924 Å, b = 4.1924 Å, c = 10.7099 Å
α = 90.00°, β = 90.00°, γ = 90.00°
Sites, in units of the cell vectors:
Si  0.5000  0.0000  0.8633
Zn  0.5000  0.0000  0.6379
Pr  0.5000  0.0000  0.2447
Zn  0.0000  0.0000  0.0000
Zn  0.5000  0.5000  0.0000
Pr  0.0000  0.5000  0.7553
Si  0.0000  0.5000  0.1367
Ag  0.5000  0.5000  0.5000
Si  0.0000  0.0000  0.5000
Zn  0.0000  0.5000  0.3621

Output
The calculated total energy comes out at -3.762 eV/atom. Its space group is No. 115. As for the magnetization: 0.00 μB/cell.

9.
First-principles (PBE) data for Ba2Al12CdPd3 after structural relaxation, as listed in the Alexandria database.

a = 8.2029 Å, b = 8.2029 Å, c = 8.2029 Å
α = 69.56°, β = 69.56°, γ = 69.56°
Sites, in units of the cell vectors:
Al  0.8982  0.2363  0.2363
Al  0.2363  0.8982  0.2363
Al  0.1018  0.7637  0.7637
Al  0.7637  0.1018  0.7637
Cd  0.0000  0.0000  0.0000
Al  0.2363  0.2363  0.8982
Pd  0.5000  0.0000  0.0000
Al  0.1305  0.1305  0.6425
Ba  0.4009  0.4009  0.4009
Pd  0.0000  0.5000  0.0000
Pd  0.0000  0.0000  0.5000
Al  0.7637  0.7637  0.1018
Al  0.8695  0.3575  0.8695
Ba  0.5991  0.5991  0.5991
Al  0.3575  0.8695  0.8695
Al  0.6425  0.1305  0.1305
Al  0.1305  0.6425  0.1305
Al  0.8695  0.8695  0.3575

Output
The calculated total energy comes out at -3.645 eV/atom. Its space group is No. 166. As for the magnetization: 0.00 μB/cell. As for the formation energy from the elements: -0.02 eV/atom.

10.
First-principles (PBE) data for SiNiN3 after structural relaxation, as listed in the Alexandria database.

a = 3.5395 Å, b = 3.5395 Å, c = 3.5395 Å
α = 90.00°, β = 90.00°, γ = 90.00°
Sites, in units of the cell vectors:
N  0.5000  0.0000  0.0000
Ni  0.5000  0.5000  0.5000
N  0.0000  0.5000  0.0000
N  0.0000  0.0000  0.5000
Si  0.0000  0.0000  0.0000

Output
The calculated total energy comes out at -6.321 eV/atom. Its space group is No. 221. As for the magnetization: 0.00 μB/cell.

11.
First-principles (PBE) data for AcMnP2Os after structural relaxation, as listed in the Alexandria database.

a = 4.0233 Å, b = 4.0233 Å, c = 6.2987 Å
α = 108.63°, β = 108.63°, γ = 90.00°
Sites, in units of the cell vectors:
P  0.3493  0.3493  0.6986
Mn  0.7500  0.2500  0.5000
Ac  0.0000  0.0000  0.0000
P  0.6507  0.6507  0.3014
Os  0.2500  0.7500  0.5000

Output
The calculated total energy comes out at -7.849 eV/atom. Its space group is No. 119. As for the magnetization: 0.01 μB/cell. As for the formation energy from the elements: -0.78 eV/atom.

12.
First-principles (PBE) data for OsWCl after structural relaxation, as listed in the Alexandria database.

a = 4.2370 Å, b = 4.2370 Å, c = 2.9092 Å
α = 90.00°, β = 90.00°, γ = 120.00°
Sites, in units of the cell vectors:
Cl  0.0000  0.0000  0.9256
Os  0.6667  0.3333  0.2892
W  0.3333  0.6667  0.7851

Output
The calculated total energy comes out at -7.863 eV/atom. Its space group is No. 156. As for the magnetization: 0.00 μB/cell.

magnetization of number 12 (OsWCl)? 0.00 μB/cell

Among the records above, which one has the highest calculated total energy? Ba2Al12CdPd3

magnetization of number 9 (Ba2Al12CdPd3)? 0.00 μB/cell

Which value of magnetization does entry 5 give? 0.00 μB/cell